# 1
VASP calculation (GGA-PBE) on a relaxed structure of Fe3NiN.

Computed properties:
Size of the total moment in μB/cell: 10.996
Energy in eV/cell: -30.21
Formation energy (no corrections) in eV per atom: 1.86
N(E_F) in states/eV/f.u.: 4.472

Unit cell a=4.2849 b=4.2849 c=4.2849 alpha=90.00 beta=90.00 gamma=90.00
Atoms (fractional coordinates):
Ni  0.0000  0.0000  0.0000
Fe  0.0000  0.5000  0.0000
Fe  0.0000  0.0000  0.5000
Fe  0.5000  0.0000  0.0000
N  0.5000  0.5000  0.5000



# 2
VASP calculation (GGA-PBE) on a relaxed structure of Na2CeSn.

Computed properties:
Size of the total moment in μB/cell: 0.572
Energy in eV/cell: -11.98
ΔH_f (0 K) in meV/atom: 149
N(E_F) in states/eV/f.u.: 5.855

Unit cell a=3.2264 b=3.2264 c=12.7204 alpha=82.71 beta=82.71 gamma=60.00
Atoms (fractional coordinates):
Na  0.0907  0.0907  0.7278
Na  0.9093  0.9093  0.2722
Sn  0.5000  0.5000  0.5000
Ce  0.0000  0.0000  0.0000



# 3
VASP calculation (GGA-PBE) on a relaxed structure of K3Pm4Te8.

Computed properties:
Size of the total moment in μB/cell: 0.000
Energy in eV/cell: -65.52
Formation energy (no corrections) in eV per atom: -1.21
N(E_F) in states/eV/f.u.: 9.192

Unit cell a=9.0813 b=9.2670 c=9.2670 alpha=90.58 beta=118.94 gamma=118.94
Atoms (fractional coordinates):
K  0.5000  0.5000  0.0000
K  0.5000  0.0000  0.5000
K  0.5000  0.5000  0.5000
Pm  0.5000  0.0000  0.0000
Pm  0.0000  0.5000  0.0000
Pm  0.0000  0.0000  0.0000
Pm  0.0000  0.0000  0.5000
Te  0.4707  0.2225  0.2225
Te  0.0000  0.7584  0.2416
Te  0.9828  0.2397  0.2397
Te  0.5000  0.7603  0.2397
Te  0.5000  0.2397  0.7603
Te  0.0172  0.7603  0.7603
Te  0.0000  0.2416  0.7584
Te  0.5293  0.7775  0.7775



# 4
VASP calculation (GGA-PBE) on a relaxed structure of Ce5GeIr2.

Computed properties:
Excess energy over the best structure of this formula in the dataset in kJ/mol of atoms: 0.0
Size of the total moment in μB/cell: 2.895
Energy in eV/cell: -113.63
ΔH_f (0 K) in meV/atom: -601
N(E_F) in states/eV/f.u.: 16.642

Unit cell a=4.4588 b=5.8853 c=15.8558 alpha=90.00 beta=90.00 gamma=112.26
Atoms (fractional coordinates):
Ce  0.9166  0.8333  0.8901
Ce  0.9166  0.8333  0.6099
Ce  0.4080  0.8161  0.4247
Ce  0.4080  0.8161  0.0753
Ce  0.7855  0.5710  0.2500
Ce  0.2145  0.4290  0.7500
Ce  0.5920  0.1839  0.5753
Ce  0.5920  0.1839  0.9247
Ce  0.0834  0.1667  0.1099
Ce  0.0834  0.1667  0.3901
Ge  0.5018  0.0036  0.7500
Ge  0.4982  0.9964  0.2500
Ir  0.7484  0.4967  0.4279
Ir  0.7484  0.4967  0.0721
Ir  0.2516  0.5033  0.5721
Ir  0.2516  0.5033  0.9279



# 5
VASP calculation (GGA-PBE) on a relaxed structure of Nd3Ga2Ni6.

Computed properties:
Size of the total moment in μB/cell: 0.000
Energy in eV/cell: -120.07
ΔH_f (0 K) in meV/atom: -453
N(E_F) in states/eV/f.u.: 7.005

Unit cell a=7.8524 b=7.8524 c=7.8524 alpha=109.47 beta=109.47 gamma=109.47
Atoms (fractional coordinates):
Nd  0.7099  0.7099  0.0000
Nd  0.2901  0.0000  0.2901
Nd  0.0000  0.2901  0.2901
Nd  0.2901  0.2901  0.0000
Nd  0.7099  0.0000  0.7099
Nd  0.0000  0.7099  0.7099
Ga  0.0000  0.0000  0.5000
Ga  0.0000  0.5000  0.0000
Ga  0.5000  0.0000  0.0000
Ga  0.5000  0.5000  0.5000
Ni  0.3356  0.3356  0.6712
Ni  0.6644  0.0000  0.3356
Ni  0.0000  0.6644  0.3356
Ni  0.6644  0.3356  0.0000
Ni  0.3356  0.6712  0.3356
Ni  0.0000  0.3356  0.6644
Ni  0.3356  0.6644  0.0000
Ni  0.3356  0.0000  0.6644
Ni  0.6712  0.3356  0.3356
Ni  0.6644  0.6644  0.3288
Ni  0.6644  0.3288  0.6644
Ni  0.3288  0.6644  0.6644



# 6
VASP calculation (GGA-PBE) on a relaxed structure of NaLiPS2.

Computed properties:
Excess energy over the best structure of this formula in the dataset in kJ/mol of atoms: 112.5
Size of the total moment in μB/cell: 0.001
Energy in eV/cell: -13.44
Formation energy (no corrections) in eV per atom: 0.69
N(E_F) in states/eV/f.u.: 6.267

Unit cell a=5.0039 b=5.0039 c=4.8660 alpha=90.00 beta=90.00 gamma=90.00
Atoms (fractional coordinates):
P  0.0000  0.0000  0.5000
S  0.0000  0.5000  0.0000
S  0.5000  0.0000  0.0000
Li  0.5000  0.5000  0.5000
Na  0.0000  0.0000  0.0000



# 7
VASP calculation (GGA-PBE) on a relaxed structure of SrZrSe3.

Computed properties:
Size of the total moment in μB/cell: 0.000
Energy in eV/cell: -114.78
Formation energy (no corrections) in eV per atom: -1.60
N(E_F) in states/eV/f.u.: 0.091

Unit cell a=3.9938 b=9.0517 c=14.6412 alpha=90.00 beta=90.00 gamma=90.00
Atoms (fractional coordinates):
Se  0.2500  0.0185  0.3922
Se  0.7500  0.4815  0.8922
Se  0.7500  0.9815  0.6078
Se  0.2500  0.5185  0.1078
Se  0.2500  0.1600  0.9861
Se  0.7500  0.3400  0.4861
Se  0.7500  0.8400  0.0139
Se  0.2500  0.6600  0.5139
Se  0.2500  0.2901  0.7188
Se  0.7500  0.2099  0.2188
Se  0.7500  0.7099  0.2812
Se  0.2500  0.7901  0.7812
Sr  0.2500  0.4409  0.3218
Sr  0.7500  0.0591  0.8218
Sr  0.7500  0.5591  0.6782
Sr  0.2500  0.9409  0.1782
Zr  0.2500  0.1703  0.5570
Zr  0.7500  0.3297  0.0570
Zr  0.7500  0.8297  0.4430
Zr  0.2500  0.6703  0.9430



# 8
VASP calculation (GGA-PBE) on a relaxed structure of AsP2.

Computed properties:
Excess energy over the best structure of this formula in the dataset in kJ/mol of atoms: 48.2
Size of the total moment in μB/cell: 0.000
Energy in eV/cell: -54.56
ΔH_f (0 K) in meV/atom: 610
N(E_F) in states/eV/f.u.: 1.599

Unit cell a=5.1921 b=5.1921 c=9.9085 alpha=90.00 beta=90.00 gamma=120.00
Atoms (fractional coordinates):
P  0.0000  0.0000  0.0000
P  0.0000  0.0000  0.5000
P  0.8555  0.7110  0.2500
P  0.1445  0.2890  0.7500
P  0.2890  0.1445  0.2500
P  0.8555  0.1445  0.2500
P  0.1445  0.8555  0.7500
P  0.7110  0.8555  0.7500
As  0.3333  0.6667  0.9528
As  0.6667  0.3333  0.4528
As  0.6667  0.3333  0.0472
As  0.3333  0.6667  0.5472